## CsNa2HgW (PBE)

Data for crystalline CsNa2HgW at its relaxed geometry.

Calculated formation energy = 1.295 eV/atom

Unit cell a=6.1656 b=6.1656 c=7.1259 alpha=90.00 beta=90.00 gamma=90.00
Closest atoms and distances in Å follow each position.
Atoms (fractional coordinates):
Cs1 0.0000 0.0000 0.0000  2 W 3.56
Na1 0.0000 0.5000 0.5000  2 W 3.08
Na2 0.5000 0.0000 0.5000  2 W 3.08
Hg1 0.5000 0.5000 0.0000  4 Cs 4.36, 8 Na 4.71
W1 0.0000 0.0000 0.5000  4 Na 3.08



## Y2GeH2 (PBE)

Data for crystalline Y2GeH2 at its relaxed geometry.

Unit cell a=3.6611 b=3.6611 c=11.9809 alpha=90.00 beta=90.00 gamma=90.00
Closest atoms and distances in Å follow each position.
Atoms (fractional coordinates):
Y1 0.0000 0.0000 0.1408  4 H 2.25
Y2 0.0000 0.0000 0.8592  4 H 2.25
Y3 0.5000 0.5000 0.3592  4 H 2.25
Y4 0.5000 0.5000 0.6408  4 H 2.25
Ge1 0.0000 0.0000 0.5000  8 Y 3.09
Ge2 0.5000 0.5000 0.0000  8 Y 3.09
H1 0.0000 0.5000 0.2500  4 Y 2.25
H2 0.0000 0.5000 0.7500  4 Y 2.25
H3 0.5000 0.0000 0.2500  4 Y 2.25
H4 0.5000 0.0000 0.7500  4 Y 2.25



| no. | DFT total energy (eV/atom) | N(E_F) (states/eV/atom) |
| --- | --- | --- |
| 1 | -2.0546 | 0.89 |
| 2 | -5.5929 | 0.35 |